Crystalline Tb2Pm4TmMg at its relaxed geometry, computed with PBE-GGA.

It has space group P2/m (No. 10), with a = 5.054 Å, b = 5.049 Å, c = 9.964 Å, α = 90.00°, β = 90.04° and γ = 90.00°. Symmetry generates all atoms from Tb at (0.000, 0.000, 0.000), Tb at (0.500, 0.500, 0.500), Pm at (0.000, 0.500, 0.247), Pm at (0.500, 0.000, 0.247), Tm at (0.000, 0.000, 0.500) and Mg at (0.500, 0.500, 0.000).

Its density is 7126 kg/m3. For the total energy, the calculation gives -34.3 eV per cell. As for the volume: 31.780 Å³ per atom.